## A
Compound: CoBiSb
Source: Alexandria via LeMat-Bulk
Functional: PBE-GGA
Structure: optimized geometry

CIF file:
```
data_CoBiSb
_space_group_name_H-M_alt 'P m n 21'
_space_group_IT_number 31
_cell_length_a 3.510
_cell_length_b 5.704
_cell_length_c 6.566
_cell_angle_alpha 90.00
_cell_angle_beta 90.00
_cell_angle_gamma 90.00
loop_
_space_group_symop_operation_xyz
'x,y,z'
'-x+1/2,-y,z+1/2'
'-x,y,z'
'x+1/2,-y,z+1/2'
loop_
_atom_site_label
_atom_site_fract_x
_atom_site_fract_y
_atom_site_fract_z
Co1 0.000 0.232 0.000
Bi1 0.000 0.453 0.642
Sb1 0.000 0.042 0.350
```

## B
Compound: CoBiSb
Source: Alexandria via LeMat-Bulk
Functional: PBE-GGA
Structure: optimized geometry

CIF file:
```
data_CoBiSb
_space_group_name_H-M_alt 'C 1 2/c 1'
_space_group_IT_number 15
_cell_length_a 15.906
_cell_length_b 6.600
_cell_length_c 11.236
_cell_angle_alpha 90.00
_cell_angle_beta 134.92
_cell_angle_gamma 90.00
loop_
_space_group_symop_operation_xyz
'x,y,z'
'-x,-y,-z'
'-x,y,-z+1/2'
'x,-y,z+1/2'
'x+1/2,y+1/2,z'
'-x+1/2,-y+1/2,-z'
'-x+1/2,y+1/2,-z+1/2'
'x+1/2,-y+1/2,z+1/2'
loop_
_atom_site_label
_atom_site_fract_x
_atom_site_fract_y
_atom_site_fract_z
Co1 0.000 0.000 0.000
Co2 0.119 0.479 0.369
Bi1 0.000 0.128 0.250
Bi2 0.249 0.249 0.655
Sb1 0.000 0.344 0.589
Sb2 0.250 0.250 0.000
```

A wins, 16.7 kJ/mol of atoms ahead of the next structure.

## A
Compound: Co3BiSb
Source: Alexandria via LeMat-Bulk
Functional: PBE-GGA
Structure: optimized geometry

CIF file:
```
data_Co3BiSb
_space_group_name_H-M_alt 'P m -3 m'
_space_group_IT_number 221
_space_group_name_Hall '-P 4 2 3'
_cell_length_a 4.780
_cell_length_b 4.780
_cell_length_c 4.780
_cell_angle_alpha 90.00
_cell_angle_beta 90.00
_cell_angle_gamma 90.00
loop_
_atom_site_label
_atom_site_fract_x
_atom_site_fract_y
_atom_site_fract_z
Co1 0.000 0.000 0.500
Bi1 0.000 0.000 0.000
Sb1 0.500 0.500 0.500
```

## B
Compound: Co3BiSb
Source: Alexandria via LeMat-Bulk
Functional: PBE-GGA
Structure: optimized geometry

CIF file:
```
data_Co3BiSb
_space_group_name_H-M_alt 'P m -3 m'
_space_group_IT_number 221
_space_group_name_Hall '-P 4 2 3'
_cell_length_a 4.682
_cell_length_b 4.682
_cell_length_c 4.682
_cell_angle_alpha 90.00
_cell_angle_beta 90.00
_cell_angle_gamma 90.00
loop_
_atom_site_label
_atom_site_fract_x
_atom_site_fract_y
_atom_site_fract_z
Co1 0.000 0.000 0.500
Bi1 0.500 0.500 0.500
Sb1 0.000 0.000 0.000
```

B wins, 38.5 kJ/mol of atoms ahead of the next structure.

## A
Compound: Co2BiSb2
Source: Alexandria via LeMat-Bulk
Functional: PBE-GGA
Structure: optimized geometry

CIF file:
```
data_Co2BiSb2
_space_group_name_H-M_alt 'I 4/m m m'
_space_group_IT_number 139
_space_group_name_Hall '-I 4 2'
_cell_length_a 4.484
_cell_length_b 4.484
_cell_length_c 10.222
_cell_angle_alpha 90.00
_cell_angle_beta 90.00
_cell_angle_gamma 90.00
loop_
_atom_site_label
_atom_site_fract_x
_atom_site_fract_y
_atom_site_fract_z
Co1 0.000 0.500 0.250
Bi1 0.000 0.000 0.000
Sb1 0.000 0.000 0.360
```

## B
Compound: Co2BiSb2
Source: Alexandria via LeMat-Bulk
Functional: PBE-GGA
Structure: optimized geometry

CIF file:
```
data_Co2BiSb2
_space_group_name_H-M_alt 'I 4/m m m'
_space_group_IT_number 139
_space_group_name_Hall '-I 4 2'
_cell_length_a 4.269
_cell_length_b 4.269
_cell_length_c 11.211
_cell_angle_alpha 90.00
_cell_angle_beta 90.00
_cell_angle_gamma 90.00
loop_
_atom_site_label
_atom_site_fract_x
_atom_site_fract_y
_atom_site_fract_z
Co1 0.000 0.000 0.111
Bi1 0.000 0.000 0.500
Sb1 0.000 0.500 0.250
```

A wins, 10.1 kJ/mol of atoms ahead of the next structure.

## A
Compound: Sc5CoBi2
Source: Alexandria via LeMat-Bulk
Functional: PBE-GGA
Structure: optimized geometry

CIF file:
```
data_Sc5CoBi2
_space_group_name_H-M_alt 'C m c m'
_space_group_IT_number 63
_space_group_name_Hall '-C 2c 2'
_cell_length_a 5.142
_cell_length_b 15.138
_cell_length_c 13.106
_cell_angle_alpha 90.00
_cell_angle_beta 90.00
_cell_angle_gamma 90.00
loop_
_atom_site_label
_atom_site_fract_x
_atom_site_fract_y
_atom_site_fract_z
Sc1 0.000 0.057 0.124
Sc2 0.000 0.267 0.108
Sc3 0.000 0.304 0.750
Co1 0.000 0.167 0.250
Bi1 0.000 0.139 0.584
```

## B
Compound: Sc5CoBi2
Source: Alexandria via LeMat-Bulk
Functional: PBE-GGA
Structure: optimized geometry

CIF file:
```
data_Sc5CoBi2
_space_group_name_H-M_alt 'P b a m'
_space_group_IT_number 55
_cell_length_a 7.460
_cell_length_b 11.623
_cell_length_c 4.265
_cell_angle_alpha 90.00
_cell_angle_beta 90.00
_cell_angle_gamma 90.00
loop_
_space_group_symop_operation_xyz
'x,y,z'
'-x,-y,-z'
'-x,-y,z'
'x,y,-z'
'x+1/2,-y+1/2,-z'
'-x+1/2,y+1/2,z'
'-x+1/2,y+1/2,-z'
'x+1/2,-y+1/2,z'
loop_
_atom_site_label
_atom_site_fract_x
_atom_site_fract_y
_atom_site_fract_z
Sc1 0.000 0.000 0.000
Sc2 0.132 0.314 0.000
Sc3 0.178 0.559 0.500
Co1 0.000 0.500 0.000
Bi1 0.068 0.824 0.500
```

B wins, 36.5 kJ/mol of atoms ahead of the next structure.

## A
Compound: Sc2Co2Bi
Source: Alexandria via LeMat-Bulk
Functional: PBE-GGA
Structure: optimized geometry

CIF file:
```
data_Sc2Co2Bi
_space_group_name_H-M_alt 'I 4/m m m'
_space_group_IT_number 139
_space_group_name_Hall '-I 4 2'
_cell_length_a 3.408
_cell_length_b 3.408
_cell_length_c 16.994
_cell_angle_alpha 90.00
_cell_angle_beta 90.00
_cell_angle_gamma 90.00
loop_
_atom_site_label
_atom_site_fract_x
_atom_site_fract_y
_atom_site_fract_z
Sc1 0.000 0.000 0.132
Co1 0.000 0.500 0.250
Bi1 0.000 0.000 0.500
```

## B
Compound: Sc2Co2Bi
Source: Alexandria via LeMat-Bulk
Functional: PBE-GGA
Structure: optimized geometry

CIF file:
```
data_Sc2Co2Bi
_space_group_name_H-M_alt 'P 4/m b m'
_space_group_IT_number 127
_space_group_name_Hall '-P 4 2ab'
_cell_length_a 7.031
_cell_length_b 7.031
_cell_length_c 3.650
_cell_angle_alpha 90.00
_cell_angle_beta 90.00
_cell_angle_gamma 90.00
loop_
_atom_site_label
_atom_site_fract_x
_atom_site_fract_y
_atom_site_fract_z
Sc1 0.172 0.328 0.000
Co1 0.114 0.614 0.500
Bi1 0.000 0.000 0.500
```

B wins, 12.9 kJ/mol of atoms ahead of the next structure.

## A
Compound: Sc3CoBi
Source: Alexandria via LeMat-Bulk
Functional: PBE-GGA
Structure: optimized geometry

CIF file:
```
data_Sc3CoBi
_space_group_name_H-M_alt 'P 1 21/m 1'
_space_group_IT_number 11
_cell_length_a 7.518
_cell_length_b 4.106
_cell_length_c 7.851
_cell_angle_alpha 90.00
_cell_angle_beta 115.01
_cell_angle_gamma 90.00
loop_
_space_group_symop_operation_xyz
'x,y,z'
'-x,-y,-z'
'-x,y+1/2,-z'
'x,-y+1/2,z'
loop_
_atom_site_label
_atom_site_fract_x
_atom_site_fract_y
_atom_site_fract_z
Sc1 0.032 0.250 0.243
Sc2 0.316 0.750 0.594
Sc3 0.328 0.250 0.912
Co1 0.068 0.250 0.590
Bi1 0.323 0.750 0.200
```

## B
Compound: Sc3CoBi
Source: Alexandria via LeMat-Bulk
Functional: PBE-GGA
Structure: optimized geometry

CIF file:
```
data_Sc3CoBi
_space_group_name_H-M_alt 'P m -3 m'
_space_group_IT_number 221
_space_group_name_Hall '-P 4 2 3'
_cell_length_a 5.397
_cell_length_b 5.397
_cell_length_c 5.397
_cell_angle_alpha 90.00
_cell_angle_beta 90.00
_cell_angle_gamma 90.00
loop_
_atom_site_label
_atom_site_fract_x
_atom_site_fract_y
_atom_site_fract_z
Sc1 0.000 0.000 0.500
Co1 0.500 0.500 0.500
Bi1 0.000 0.000 0.000
```

## C
Compound: Sc3CoBi
Source: Alexandria via LeMat-Bulk
Functional: PBE-GGA
Structure: optimized geometry

CIF file:
```
data_Sc3CoBi
_space_group_name_H-M_alt 'P m -3 m'
_space_group_IT_number 221
_space_group_name_Hall '-P 4 2 3'
_cell_length_a 4.852
_cell_length_b 4.852
_cell_length_c 4.852
_cell_angle_alpha 90.00
_cell_angle_beta 90.00
_cell_angle_gamma 90.00
loop_
_atom_site_label
_atom_site_fract_x
_atom_site_fract_y
_atom_site_fract_z
Sc1 0.000 0.000 0.500
Co1 0.000 0.000 0.000
Bi1 0.500 0.500 0.500
```

A wins, 12.8 kJ/mol of atoms ahead of the next structure.